Record 1
TmAu2Br6: relaxed, PBE.

Summary:
raw total energy = -0.2310 Ry per atom
ΔE_f (raw) = -0.80 eV/atom

Cell lengths 9.699, 9.699, 7.696 Å; angles 103.90, 103.90, 89.35 degrees
Fractional coordinates of all 18 atoms:
Tm1 0.065 0.935 0.750
Tm2 0.935 0.065 0.250
Au1 0.210 0.358 0.208
Au2 0.358 0.210 0.708
Au3 0.642 0.790 0.292
Au4 0.790 0.642 0.792
Br1 0.004 0.185 0.632
Br2 0.041 0.651 0.760
Br3 0.185 0.004 0.132
Br4 0.349 0.959 0.740
Br5 0.369 0.412 0.573
Br6 0.412 0.369 0.073
Br7 0.588 0.631 0.927
Br8 0.631 0.588 0.427
Br9 0.651 0.041 0.260
Br10 0.815 0.996 0.868
Br11 0.959 0.349 0.240
Br12 0.996 0.815 0.368

***

Record 2
TmAuBr: relaxed, PBE.

Summary:
raw total energy = -0.3174 Ry per atom
ΔE_f (raw) = -1.18 eV/atom

Cell lengths 5.012, 5.012, 11.748 Å; angles 109.01, 109.01, 44.58 degrees
Fractional coordinates of all 6 atoms:
Tm1 0.004 0.004 0.157
Tm2 0.996 0.996 0.843
Au1 0.336 0.336 0.959
Au2 0.664 0.664 0.041
Br1 0.430 0.430 0.659
Br2 0.570 0.570 0.341

***

Record 3
TmAuBr6: relaxed, PBE.

Summary:
raw total energy = -0.2304 Ry per atom
ΔE_f (raw) = -0.91 eV/atom

Cell lengths 5.893, 7.257, 8.007 Å; angles 67.61, 71.55, 86.10 degrees
Fractional coordinates of all 8 atoms:
Tm1 0.000 0.000 0.000
Au1 0.500 0.500 0.000
Br1 0.025 0.813 0.349
Br2 0.282 0.367 0.839
Br3 0.407 0.840 0.807
Br4 0.593 0.160 0.193
Br5 0.718 0.633 0.161
Br6 0.975 0.187 0.651

***

Record 4
UAu3Br9: relaxed, PBE.

Summary:
raw total energy = -0.2491 Ry per atom
ΔE_f (raw) = -0.61 eV/atom

Cell lengths 11.956, 11.956, 13.724 Å; angles 124.33, 124.33, 52.76 degrees
Fractional coordinates of all 26 atoms:
U1 0.190 0.810 0.500
U2 0.810 0.190 0.000
Au1 0.095 0.412 0.500
Au2 0.166 0.252 0.830
Au3 0.252 0.166 0.330
Au4 0.412 0.095 0.000
Au5 0.543 0.886 0.121
Au6 0.886 0.543 0.621
Br1 0.109 0.151 0.105
Br2 0.151 0.109 0.605
Br3 0.176 0.809 0.300
Br4 0.200 0.826 0.705
Br5 0.230 0.528 0.390
Br6 0.233 0.357 0.063
Br7 0.357 0.233 0.563
Br8 0.482 0.726 0.592
Br9 0.492 0.902 0.276
Br10 0.528 0.230 0.890
Br11 0.610 0.840 0.957
Br12 0.726 0.482 0.092
Br13 0.809 0.176 0.800
Br14 0.826 0.200 0.205
Br15 0.840 0.610 0.457
Br16 0.897 0.905 0.412
Br17 0.902 0.492 0.776
Br18 0.905 0.897 0.912

***

Record 5
VAuBr: relaxed, PBE.

Summary:
raw total energy = -0.3358 Ry per atom
ΔE_f (raw) = 0.12 eV/atom

Cell lengths 3.833, 3.833, 4.923 Å; angles 90.00, 90.00, 90.00 degrees
Fractional coordinates of all 3 atoms:
V1 0.000 0.000 0.000
Au1 0.500 0.500 0.000
Br1 0.000 0.000 0.500

***

Record 6
V2AuBr8: relaxed, PBE.

Summary:
raw total energy = -0.2798 Ry per atom
ΔE_f (raw) = -0.63 eV/atom

Cell lengths 8.418, 8.418, 6.957 Å; angles 96.89, 96.89, 67.87 degrees
Fractional coordinates of all 11 atoms:
V1 0.191 0.191 0.322
V2 0.809 0.809 0.678
Au1 0.000 0.000 0.500
Br1 0.079 0.670 0.830
Br2 0.167 0.167 0.663
Br3 0.330 0.921 0.170
Br4 0.358 0.358 0.338
Br5 0.642 0.642 0.662
Br6 0.670 0.079 0.830
Br7 0.833 0.833 0.337
Br8 0.921 0.330 0.170

***

Record 7
VAu2Br: relaxed, PBE.

Summary:
raw total energy = -0.2978 Ry per atom
ΔE_f (raw) = 0.28 eV/atom

Cell lengths 6.304, 6.304, 6.304 Å; angles 99.98, 99.98, 130.79 degrees
Fractional coordinates of all 8 atoms:
V1 0.000 0.000 0.000
V2 0.750 0.250 0.500
Au1 0.092 0.125 0.467
Au2 0.375 0.908 0.033
Au3 0.658 0.625 0.533
Au4 0.875 0.342 0.967
Br1 0.250 0.750 0.500
Br2 0.500 0.500 0.000

***

Record 8
VAu2Br6: relaxed, PBE.

Summary:
raw total energy = -0.2432 Ry per atom
ΔE_f (raw) = -0.45 eV/atom

Cell lengths 10.197, 10.197, 6.260 Å; angles 92.86, 92.86, 93.52 degrees
Fractional coordinates of all 18 atoms:
V1 0.078 0.922 0.750
V2 0.922 0.078 0.250
Au1 0.388 0.389 0.718
Au2 0.389 0.388 0.218
Au3 0.611 0.612 0.782
Au4 0.612 0.611 0.282
Br1 0.040 0.155 0.598
Br2 0.066 0.709 0.874
Br3 0.155 0.040 0.098
Br4 0.253 0.509 0.465
Br5 0.291 0.934 0.626
Br6 0.491 0.747 0.035
Br7 0.509 0.253 0.965
Br8 0.709 0.066 0.374
Br9 0.747 0.491 0.535
Br10 0.845 0.960 0.902
Br11 0.934 0.291 0.126
Br12 0.960 0.845 0.402

***

Record 9
VAu3Br9: relaxed, PBE.

Summary:
raw total energy = -0.2168 Ry per atom
ΔE_f (raw) = -0.33 eV/atom

Cell lengths 10.890, 10.890, 13.287 Å; angles 110.49, 110.49, 44.96 degrees
Fractional coordinates of all 26 atoms:
V1 0.239 0.761 0.500
V2 0.761 0.239 0.000
Au1 0.206 0.385 0.869
Au2 0.385 0.206 0.369
Au3 0.497 0.965 0.554
Au4 0.839 0.914 0.270
Au5 0.914 0.839 0.770
Au6 0.965 0.497 0.054
Br1 0.001 0.819 0.540
Br2 0.052 0.961 0.891
Br3 0.155 0.616 0.293
Br4 0.216 0.224 0.966
Br5 0.219 0.521 0.767
Br6 0.224 0.216 0.466
Br7 0.249 0.950 0.649
Br8 0.413 0.719 0.401
Br9 0.460 0.494 0.567
Br10 0.494 0.460 0.067
Br11 0.521 0.219 0.267
Br12 0.616 0.155 0.793
Br13 0.718 0.772 0.144
Br14 0.719 0.413 0.901
Br15 0.772 0.718 0.644
Br16 0.819 0.001 0.040
Br17 0.950 0.249 0.149
Br18 0.961 0.052 0.391

***

Record 10
VAu2Br: relaxed, PBE.

Summary:
raw total energy = -0.2761 Ry per atom
ΔE_f (raw) = 0.58 eV/atom

Cell lengths 4.817, 4.817, 4.817 Å; angles 60.00, 60.00, 60.00 degrees
Fractional coordinates of all 4 atoms:
V1 0.000 0.000 0.000
Au1 0.250 0.250 0.250
Au2 0.750 0.750 0.750
Br1 0.500 0.500 0.500

***

Record 11
WAu2Br: relaxed, PBE.

Summary:
raw total energy = -0.3578 Ry per atom
ΔE_f (raw) = 0.43 eV/atom

Cell lengths 7.396, 7.396, 7.396 Å; angles 157.08, 144.23, 42.91 degrees
Fractional coordinates of all 4 atoms:
W1 0.000 0.000 0.000
Au1 0.175 0.675 0.500
Au2 0.550 0.550 0.000
Br1 0.848 0.348 0.500